Density functional theory data (PBE) for a geometry-optimized TcMo2Pt structure.

## Properties
* density of states at the Fermi level: 5.1 states/eV/f.u.
* total moment: 0.0 μB/cell
* ΔE to the lowest computed polymorph: 0.99 eV per formula unit
* energy of formation from the pure elements: 0.317 eV per formula unit
* space-group type: No. 160
* energy: -9.44 eV/atom

Lattice parameters (Å, degrees): 9.4560 9.4560 9.4560 16.86 16.86 16.86
Fractional coordinates of all 4 atoms:
Tc 0.0000 0.0000 0.0000
Mo 0.2537 0.2537 0.2537
Mo 0.4999 0.4999 0.4999
Pt 0.7505 0.7505 0.7505